Compound: Gd6Ta4Al43
Source: OQMD via LeMat-Bulk
Functional: PBE
Structure: optimized geometry

The structure belongs to space group P6_3/mcm (No. 193); the cell edges are 11.1284, 11.1284 and 17.9143 Å and the angles 90.00°, 90.00° and 120.00°. The inequivalent atoms are Gd at (0.0000, 0.4706, 0.0961), Ta at (0.0000, 0.0000, 0.0000), Ta at (0.0000, 0.2727, 0.2500), Al at (0.0000, 0.1484, 0.7500), Al at (0.0000, 0.1595, 0.1152), Al at (0.0000, 0.2555, 0.5297), Al at (0.1499, 0.5553, 0.2500), Al at (0.1588, 0.3954, 0.6631), Al at (0.2473, 0.4945, 0.0000) and Al at (0.3333, 0.6667, 0.1253).

For the magnetic moment, the calculation gives 0.0 μB per cell.


Compound: Gd3YTe2C2
Source: OQMD via LeMat-Bulk
Functional: PBE
Structure: optimized geometry

The structure belongs to space group P3m1 (No. 156); the cell edges are 3.8680, 3.8680 and 14.1683 Å and the angles 90.00°, 90.00° and 120.00°. The inequivalent atoms are Gd at (0.0000, 0.0000, 0.0000), Gd at (0.0000, 0.0000, 0.3132), Gd at (0.3333, 0.6667, 0.5020), Y at (0.3333, 0.6667, 0.8131), Te at (0.0000, 0.0000, 0.6590), Te at (0.3333, 0.6667, 0.1568), C at (0.6667, 0.3333, 0.4079) and C at (0.6667, 0.3333, 0.9064).

For the magnetic moment, the calculation gives 0.0 μB per cell.


Compound: NdDyZn2In2
Source: OQMD via LeMat-Bulk
Functional: PBE
Structure: optimized geometry

The structure belongs to space group P3m1 (No. 156); the cell edges are 4.6923, 4.6923 and 7.4546 Å and the angles 90.00°, 90.00° and 120.00°. The inequivalent atoms are Nd at (0.0000, 0.0000, 0.0000), Dy at (0.0000, 0.0000, 0.5007), Zn at (0.3333, 0.6667, 0.2062), Zn at (0.6667, 0.3333, 0.6913), In at (0.3333, 0.6667, 0.7674) and In at (0.6667, 0.3333, 0.2824).

For the magnetic moment, the calculation gives 0.0 μB per cell.


Compound: CuSnHgW
Source: OQMD via LeMat-Bulk
Functional: PBE
Structure: optimized geometry

The structure belongs to space group F-43m (No. 216); the cell edges are 6.733, 6.733 and 6.733 Å and the angles 90.00°, 90.00° and 90.00°. The inequivalent atoms are Cu at (0.000, 0.000, 0.000), Sn at (0.250, 0.250, 0.750), Hg at (0.000, 0.000, 0.500) and W at (0.250, 0.250, 0.250).

For the magnetic moment, the calculation gives 10.4 μB per cell. The energy above the lowest structure with this stoichiometry comes out at 240 meV/atom.


Compound: Gd5Ga3
Source: OQMD via LeMat-Bulk
Functional: PBE
Structure: optimized geometry

The structure belongs to space group P4/ncc (No. 130, origin choice 2); the cell edges are 7.676, 7.676 and 14.328 Å and the angles 90.00°, 90.00° and 90.00°. The inequivalent atoms are Gd at (0.066, 0.593, 0.103), Gd at (0.250, 0.250, 0.225), Ga at (0.129, 0.629, 0.750) and Ga at (0.250, 0.250, 0.007).

For the magnetic moment, the calculation gives 0.0 μB per cell. The energy above the lowest structure with this stoichiometry comes out at 0 meV/atom.


Compound: HoCdNO
Source: OQMD via LeMat-Bulk
Functional: PBE
Structure: optimized geometry

The structure belongs to space group Pbcm (No. 57); the cell edges are 8.078, 6.430 and 4.881 Å and the angles 90.00°, 90.00° and 90.00°. The inequivalent atoms are Ho at (0.134, 0.068, 0.250), Cd at (0.369, 0.566, 0.250), N at (0.119, 0.084, 0.750) and O at (0.381, 0.581, 0.750).

For the magnetic moment, the calculation gives 0.0 μB per cell. The energy above the lowest structure with this stoichiometry comes out at 58 meV/atom.


Compound: SrHgSb2
Source: OQMD via LeMat-Bulk
Functional: PBE
Structure: optimized geometry

The structure belongs to space group F-43m (No. 216); the cell edges are 7.795, 7.795 and 7.795 Å and the angles 90.00°, 90.00° and 90.00°. The inequivalent atoms are Sr at (0.000, 0.000, 0.000), Hg at (0.250, 0.250, 0.250), Sb at (0.000, 0.000, 0.500) and Sb at (0.250, 0.250, 0.750).


Compound: Tl3FeN2
Source: OQMD via LeMat-Bulk
Functional: PBE
Structure: optimized geometry

The structure belongs to space group Ibam (No. 72); the cell edges are 6.481, 12.948 and 5.819 Å and the angles 90.00°, 90.00° and 90.00°. The inequivalent atoms are Tl at (0.000, 0.000, 0.250), Tl at (0.000, 0.267, 0.250), Fe at (0.000, 0.500, 0.250) and N at (0.131, 0.438, 0.000).

For the magnetic moment, the calculation gives 0.5 μB per cell.


Compound: Tm10Al3Co
Source: OQMD via LeMat-Bulk
Functional: PBE
Structure: optimized geometry

The structure belongs to space group P6_3/mmc (No. 194); the cell edges are 9.3291, 9.3291 and 9.4467 Å and the angles 90.00°, 90.00° and 120.00°. The inequivalent atoms are Tm at (0.0000, 0.0000, 0.0000), Tm at (0.0839, 0.5420, 0.2500), Tm at (0.2092, 0.4184, 0.5623), Al at (0.1113, 0.2225, 0.2500) and Co at (0.3333, 0.6667, 0.7500).

For the magnetic moment, the calculation gives 0.0 μB per cell.


Compound: CoMo3
Source: OQMD via LeMat-Bulk
Functional: PBE
Structure: optimized geometry

The structure belongs to space group P6_3/mmc (No. 194); the cell edges are 5.5131, 5.5131 and 4.4083 Å and the angles 90.00°, 90.00° and 120.00°. The inequivalent atoms are Co at (0.3333, 0.6667, 0.2500) and Mo at (0.1679, 0.3357, 0.7500).

For the magnetic moment, the calculation gives 1.2 μB per cell.


Compound: Pr2Ho2CIBr2Cl2
Source: OQMD via LeMat-Bulk
Functional: PBE
Structure: optimized geometry

The structure belongs to space group C2/m (No. 12); the cell edges are 17.915, 3.929 and 8.920 Å and the angles 90.00°, 103.03° and 90.00°. The inequivalent atoms are Pr at (0.000, 0.000, 0.197), Ho at (0.137, 0.500, 0.068), C at (0.000, 0.500, 0.000), I at (0.000, 0.500, 0.500), Br at (0.174, 0.000, 0.856) and Cl at (0.165, 0.000, 0.283).

For the magnetic moment, the calculation gives 0.0 μB per cell. The energy above the lowest structure with this stoichiometry comes out at 3 meV/atom.


Compound: HoNbBi
Source: OQMD via LeMat-Bulk
Functional: PBE
Structure: optimized geometry

The structure belongs to space group F-43m (No. 216); the cell edges are 7.182, 7.182 and 7.182 Å and the angles 90.00°, 90.00° and 90.00°. The inequivalent atoms are Ho at (0.000, 0.000, 0.000), Nb at (0.250, 0.250, 0.250) and Bi at (0.250, 0.250, 0.750).

For the magnetic moment, the calculation gives 15.3 μB per cell.


| no. | VASP energy (eV/f.u.) |
| --- | --- |
| 1 | -252.8 |
| 2 | -52.0 |
| 3 | -20.2 |
| 4 | -16.9 |
| 5 | -36.2 |
| 6 | -24.4 |
| 7 | -11.4 |
| 8 | -28.6 |
| 9 | -66.9 |
| 10 | -38.6 |
| 11 | -51.2 |
| 12 | -16.4 |